#P
AcHo2Au (PBE, optimized geometry); volume = 32.72 A^3/atom; M_tot = 0.00 μB/f.u.; symmetry = R-3m
1.0
3.890 0.000 0.000
1.945 3.369 0.000
1.945 1.123 9.986
Ho Ac Au
2 1 1
direct
0.729 0.729 0.812
0.271 0.271 0.188
0.500 0.500 0.500
0.000 0.000 0.000

---

#Q
AcHo2Au (PBE, optimized geometry); volume = 30.00 A^3/atom; M_tot = 0.00 μB/f.u.; symmetry = P4/mmm
1.0
-0.271 0.357 -3.653
3.444 -1.240 -0.377
-3.052 -8.298 -0.585
Au Ho Ac
1 2 1
direct
0.500 0.500 0.000
0.000 0.000 0.810
0.000 0.000 0.190
0.500 0.500 0.500

---

The structure with the most favorable energy is #Q; the runner-up is 92 meV/atom above it.

---

#P
Ac2HoAu (PBE, optimized geometry); volume = 34.29 A^3/atom; M_tot = 0.00 μB/f.u.; symmetry = P4/mmm
1.0
3.921 0.000 0.000
0.000 3.921 0.000
0.000 0.000 8.923
Ac Ho Au
2 1 1
direct
0.000 0.000 0.785
0.000 0.000 0.215
0.500 0.500 0.500
0.500 0.500 0.000

---

#Q
Ac2HoAu (PBE, optimized geometry); volume = 38.01 A^3/atom; M_tot = 0.00 μB/f.u.; symmetry = R-3m
1.0
3.828 0.000 0.000
1.914 3.315 0.000
1.914 1.105 11.981
Ac Ho Au
2 1 1
direct
0.083 0.083 0.751
0.917 0.917 0.249
0.500 0.500 0.500
0.000 0.000 0.000

---

The structure with the most favorable energy is #P; the runner-up is 493 meV/atom above it.

---

#P
Ac2AuI (PBE, optimized geometry); volume = 38.35 A^3/atom; M_tot = 0.00 μB/f.u.; symmetry = R3m
1.0
-3.724 2.451 -0.803
-3.920 -2.073 -0.926
-4.458 -0.020 7.840
I Ac Au
1 2 1
direct
0.499 0.499 0.502
0.266 0.266 0.201
0.067 0.067 0.799
0.667 0.667 0.998

---

#Q
Ac2AuI (PBE, optimized geometry); volume = 38.36 A^3/atom; M_tot = 0.00 μB/f.u.; symmetry = R-3m
1.0
4.610 0.000 0.000
2.305 3.992 0.000
2.305 1.331 8.338
Au I Ac
1 1 2
direct
0.000 0.000 0.000
0.500 0.500 0.500
0.266 0.266 0.202
0.734 0.734 0.798

---

The structure with the most favorable energy is #Q; the runner-up is 5 meV/atom above it.

---

#P
Ac2AuI (PBE, optimized geometry); volume = 37.77 A^3/atom; M_tot = 0.00 μB/f.u.; symmetry = P-3m1
1.0
-3.856 2.035 -0.959
-2.563 -1.525 -3.322
-4.170 -5.250 5.627
Ac Au I
2 1 1
direct
0.667 0.667 0.205
0.333 0.333 0.795
0.000 0.000 0.000
0.000 0.000 0.500

---

#Q
Ac2AuI (PBE, optimized geometry); volume = 33.47 A^3/atom; M_tot = 0.00 μB/f.u.; symmetry = P4/mmm
1.0
-3.510 -1.445 -0.633
0.727 -0.111 -3.778
3.287 -8.374 0.879
Au Ac I
1 2 1
direct
0.500 0.500 0.000
0.000 0.000 0.783
0.000 0.000 0.217
0.500 0.500 0.500

---

The structure with the most favorable energy is #P; the runner-up is 107 meV/atom above it.

---

#P
AcAu2I (PBE, optimized geometry); volume = 36.82 A^3/atom; M_tot = 0.00 μB/f.u.; symmetry = R-3m
1.0
4.290 0.000 0.000
2.145 3.715 0.000
2.145 1.238 9.240
Au Ac I
2 1 1
direct
0.105 0.105 0.685
0.895 0.895 0.315
0.000 0.000 0.000
0.500 0.500 0.500

---

#Q
AcAu2I (PBE, optimized geometry); volume = 28.22 A^3/atom; M_tot = 0.00 μB/f.u.; symmetry = P4/mmm
1.0
-4.228 -2.233 1.129
1.343 -3.831 -2.549
2.039 -1.885 3.908
Au Ac I
2 1 1
direct
0.000 0.000 0.500
0.000 0.500 0.000
0.500 0.500 0.500
0.500 0.000 0.000

---

The structure with the most favorable energy is #Q; the runner-up is 844 meV/atom above it.

---

#P
Ac4InAu (PBE, optimized geometry); volume = 39.99 A^3/atom; M_tot = 0.00 μB/f.u.; symmetry = Cmc2_1
1.0
5.937 0.000 0.000
0.000 7.091 0.000
-2.968 0.000 11.399
Ac Au In
8 2 2
direct
0.305 0.576 0.609
0.286 0.059 0.573
0.555 0.352 0.110
0.445 0.852 0.890
0.892 0.306 0.783
0.714 0.559 0.427
0.108 0.806 0.217
0.695 0.076 0.391
0.419 0.317 0.839
0.581 0.817 0.161
0.846 0.823 0.692
0.154 0.323 0.308

---

#Q
Ac4InAu (PBE, optimized geometry); volume = 36.87 A^3/atom; M_tot = 0.00 μB/f.u.; symmetry = P2_1/m
1.0
-3.841 -4.380 1.853
5.963 -3.755 3.486
1.303 7.983 6.369
Ac Au In
8 2 2
direct
0.330 0.750 0.132
0.099 0.986 0.763
0.670 0.250 0.868
0.901 0.486 0.237
0.584 0.250 0.447
0.416 0.750 0.553
0.901 0.014 0.237
0.099 0.514 0.763
0.826 0.750 0.454
0.174 0.250 0.546
0.688 0.750 0.922
0.312 0.250 0.078

---

The structure with the most favorable energy is #Q; the runner-up is 94 meV/atom above it.